Record 1
Below is a relaxed structure of ZrTl3P, with properties calculated at the PBE level.

```
ZrTl3P
1.0
5.651 0.000 0.000
0.000 5.651 0.000
0.000 0.000 5.651
Zr Tl P
1 3 1
Direct
0.000 0.000 0.000 Zr
0.000 0.000 0.500 Tl
0.000 0.500 0.000 Tl
0.500 0.000 0.000 Tl
0.500 0.500 0.500 P
```

Calculated values
- Energy: -3.23 eV per atom
- Space group: No. 221
- Size of the total moment: 0.0 μB/f.u.
- Energy of formation: 94.9 kJ/mol of atoms



Record 2
Below is a relaxed structure of Zr2TlP, with properties calculated at the PBE level.

```
Zr2TlP
1.0
-1.868 2.690 4.199
1.868 -2.690 4.199
1.868 2.690 -4.199
Zr Tl P
2 1 1
Direct
0.212 0.212 0.000 Zr
0.788 0.788 0.000 Zr
0.500 0.000 0.500 Tl
0.000 0.500 0.500 P
```

Calculated values
- Energy: -6.67 eV per atom
- Space group: No. 71
- Size of the total moment: 0.0 μB/f.u.
- Energy of formation: -44.0 kJ/mol of atoms



Record 3
Below is a relaxed structure of Zr2TlP, with properties calculated at the PBE level.

```
Zr2TlP
1.0
3.305 0.000 0.000
0.000 4.846 0.000
-1.459 0.000 5.400
Zr Tl P
2 1 1
Direct
0.000 0.000 0.000 Zr
0.143 0.500 0.578 Zr
0.604 0.000 0.470 Tl
0.706 0.500 0.001 P
```

Calculated values
- Energy: -6.52 eV per atom
- Space group: No. 6
- Size of the total moment: 0.0 μB/f.u.
- Energy of formation: -29.4 kJ/mol of atoms